Record 1
## Na5B3S12 (GGA-PBE)

Data for crystalline Na5B3S12 at its relaxed geometry.

Lattice parameters (Å, degrees): 14.3064 14.3064 14.3064 109.47 109.47 109.47
Element x y z (fractional)
Na1 0.0000 0.0000 0.0000
Na2 0.0000 0.0000 0.5000
Na3 0.0000 0.5000 0.0000
Na4 0.0000 0.5000 0.5000
Na5 0.1250 0.7500 0.8750
Na6 0.1250 0.8750 0.2500
Na7 0.2500 0.1250 0.8750
Na8 0.2500 0.6250 0.3750
Na9 0.3750 0.2500 0.6250
Na10 0.3750 0.6250 0.7500
Na11 0.5000 0.0000 0.0000
Na12 0.5000 0.0000 0.5000
Na13 0.5000 0.5000 0.0000
Na14 0.5000 0.5000 0.5000
Na15 0.6250 0.3750 0.2500
Na16 0.6250 0.7500 0.3750
Na17 0.7500 0.3750 0.6250
Na18 0.7500 0.8750 0.1250
Na19 0.8750 0.1250 0.7500
Na20 0.8750 0.2500 0.1250
B1 0.1250 0.2500 0.3750
B2 0.1250 0.3750 0.7500
B3 0.2500 0.3750 0.1250
B4 0.2500 0.8750 0.6250
B5 0.3750 0.1250 0.2500
B6 0.3750 0.7500 0.1250
B7 0.6250 0.2500 0.8750
B8 0.6250 0.8750 0.7500
B9 0.7500 0.1250 0.3750
B10 0.7500 0.6250 0.8750
B11 0.8750 0.6250 0.2500
B12 0.8750 0.7500 0.6250
S1 0.0307 0.7641 0.3583
S2 0.0307 0.7667 0.6725
S3 0.0942 0.2667 0.2359
S4 0.0942 0.3275 0.8583
S5 0.1417 0.7359 0.4693
S6 0.1417 0.9058 0.6725
S7 0.1725 0.2667 0.5307
S8 0.1725 0.4058 0.6417
S9 0.2333 0.3275 0.9693
S10 0.2333 0.4058 0.2641
S11 0.2359 0.0942 0.2667
S12 0.2359 0.6417 0.9693
S13 0.2641 0.2333 0.4058
S14 0.2641 0.5307 0.8583
S15 0.2667 0.2359 0.0942
S16 0.2667 0.5307 0.1725
S17 0.3275 0.8583 0.0942
S18 0.3275 0.9693 0.2333
S19 0.3583 0.0307 0.7641
S20 0.3583 0.8275 0.5942
S21 0.4058 0.2641 0.2333
S22 0.4058 0.6417 0.1725
S23 0.4693 0.1417 0.7359
S24 0.4693 0.8275 0.7333
S25 0.5307 0.1725 0.2667
S26 0.5307 0.8583 0.2641
S27 0.5942 0.3583 0.8275
S28 0.5942 0.7359 0.7667
S29 0.6417 0.1725 0.4058
S30 0.6417 0.9693 0.2359
S31 0.6725 0.0307 0.7667
S32 0.6725 0.1417 0.9058
S33 0.7333 0.4693 0.8275
S34 0.7333 0.7641 0.9058
S35 0.7359 0.4693 0.1417
S36 0.7359 0.7667 0.5942
S37 0.7641 0.3583 0.0307
S38 0.7641 0.9058 0.7333
S39 0.7667 0.5942 0.7359
S40 0.7667 0.6725 0.0307
S41 0.8275 0.5942 0.3583
S42 0.8275 0.7333 0.4693
S43 0.8583 0.0942 0.3275
S44 0.8583 0.2641 0.5307
S45 0.9058 0.6725 0.1417
S46 0.9058 0.7333 0.7641
S47 0.9693 0.2333 0.3275
S48 0.9693 0.2359 0.6417

Properties
The theoretical density comes out at 1.6 g/cm³. Its density of states at the Fermi level is 0.4030 states/eV per atom. The value obtained for the calculated total energy is -3.820 eV per atom. The calculation puts the uncorrected formation energy at -0.25 eV per formula unit.


Record 2
## ReOs2Br2 (GGA-PBE)

Data for crystalline ReOs2Br2 at its relaxed geometry.

Lattice parameters (Å, degrees): 7.5748 7.5748 2.8942 90.00 90.00 90.00
Element x y z (fractional)
Re1 0.0000 0.0000 0.0000
Re2 0.5000 0.5000 0.0000
Os1 0.1820 0.3180 0.5000
Os2 0.3180 0.8180 0.5000
Os3 0.6820 0.1820 0.5000
Os4 0.8180 0.6820 0.5000
Br1 0.1335 0.6335 0.0000
Br2 0.3665 0.1335 0.0000
Br3 0.6335 0.8665 0.0000
Br4 0.8665 0.3665 0.0000

Properties
The theoretical density comes out at 14.5 g/cm³. Its density of states at the Fermi level is 1.0495 states/eV per atom. The value obtained for the calculated total energy is -5.728 eV per atom. The energy above the most stable polymorph in this dataset comes out at 0.000 eV per atom. The calculation puts the uncorrected formation energy at 9.61 eV per formula unit.


Record 3
## CsGa3Ag (GGA-PBE)

Data for crystalline CsGa3Ag at its relaxed geometry.

Lattice parameters (Å, degrees): 6.1320 6.1320 6.1320 90.00 90.00 90.00
Element x y z (fractional)
Cs1 0.0000 0.0000 0.0000
Ga1 0.0000 0.0000 0.5000
Ga2 0.0000 0.5000 0.0000
Ga3 0.5000 0.0000 0.0000
Ag1 0.5000 0.5000 0.5000

Properties
The theoretical density comes out at 3.2 g/cm³. Its density of states at the Fermi level is 1.2309 states/eV per atom. The value obtained for the calculated total energy is -1.224 eV per atom. The energy above the most stable polymorph in this dataset comes out at 1.092 eV per atom. The value obtained for the energy relative to the elements is 1.333 eV/atom.


Record 4
## Na2PbF6 (GGA-PBE)

Data for crystalline Na2PbF6 at its relaxed geometry.

Lattice parameters (Å, degrees): 5.2256 5.2256 10.4762 90.00 90.00 90.00
Element x y z (fractional)
Na1 0.0000 0.0000 0.1645
Na2 0.0000 0.0000 0.8355
Na3 0.5000 0.5000 0.3355
Na4 0.5000 0.5000 0.6645
Pb1 0.0000 0.0000 0.5000
Pb2 0.5000 0.5000 0.0000
F1 0.1888 0.1888 0.3491
F2 0.1888 0.1888 0.6509
F3 0.2139 0.2139 0.0000
F4 0.2861 0.7139 0.5000
F5 0.3112 0.6888 0.1509
F6 0.3112 0.6888 0.8491
F7 0.6888 0.3112 0.1509
F8 0.6888 0.3112 0.8491
F9 0.7139 0.2861 0.5000
F10 0.7861 0.7861 0.0000
F11 0.8112 0.8112 0.3491
F12 0.8112 0.8112 0.6509

Properties
The theoretical density comes out at 4.3 g/cm³. Its density of states at the Fermi level is 0.0000 states/eV per atom. The value obtained for the calculated total energy is -4.347 eV per atom. The calculation puts the uncorrected formation energy at -21.54 eV per formula unit.


Record 5
## Tb3Cd4Hg4 (GGA-PBE)

Data for crystalline Tb3Cd4Hg4 at its relaxed geometry.

Lattice parameters (Å, degrees): 3.4721 4.9527 15.7536 98.98 96.32 90.02
Element x y z (fractional)
Tb1 0.0000 0.0000 0.0000
Tb2 0.1396 0.6390 0.2791
Tb3 0.8604 0.3610 0.7209
Cd1 0.2663 0.2664 0.5317
Cd2 0.4084 0.9089 0.8174
Cd3 0.5916 0.0911 0.1826
Cd4 0.7337 0.7336 0.4683
Hg1 0.3177 0.8177 0.6340
Hg2 0.4513 0.4532 0.9062
Hg3 0.5487 0.5468 0.0938
Hg4 0.6823 0.1823 0.3660

Properties
The theoretical density comes out at 10.8 g/cm³. Its density of states at the Fermi level is 0.4871 states/eV per atom. The value obtained for the calculated total energy is -2.022 eV per atom. The value obtained for the energy relative to the elements is -0.316 eV/atom.


Record 6
## Tb4SmS7 (GGA-PBE)

Data for crystalline Tb4SmS7 at its relaxed geometry.

Lattice parameters (Å, degrees): 6.7822 6.7822 11.6987 103.97 103.97 32.89
Element x y z (fractional)
Tb1 0.0000 0.0000 0.0000
Tb2 0.1884 0.1884 0.7677
Tb3 0.5883 0.5883 0.3937
Tb4 0.8886 0.8886 0.5816
Sm1 0.7765 0.7765 0.1600
S1 0.1438 0.1438 0.2291
S2 0.2299 0.2299 0.5301
S3 0.3898 0.3898 0.0778
S4 0.5475 0.5475 0.6315
S5 0.6274 0.6274 0.9300
S6 0.8454 0.8454 0.7953
S7 0.9320 0.9320 0.3683

Properties
The theoretical density comes out at 5.9 g/cm³. Its density of states at the Fermi level is 0.1191 states/eV per atom. The value obtained for the calculated total energy is -6.414 eV per atom. The calculation puts the uncorrected formation energy at -24.83 eV per formula unit.


Record 7
## YAl2Ni (GGA-PBE)

Data for crystalline YAl2Ni at its relaxed geometry.

Lattice parameters (Å, degrees): 3.2072 3.2072 6.8890 90.00 90.00 90.00
Element x y z (fractional)
Y1 0.0000 0.0000 0.0000
Al1 0.0000 0.0000 0.5594
Al2 0.5000 0.5000 0.3203
Ni1 0.5000 0.5000 0.7091

Properties
The theoretical density comes out at 4.7 g/cm³. Its density of states at the Fermi level is 0.7187 states/eV per atom. The value obtained for the calculated total energy is -5.289 eV per atom. The value obtained for the energy relative to the elements is -0.357 eV/atom.


Record 8
## SmScTe2S (GGA-PBE)

Data for crystalline SmScTe2S at its relaxed geometry.

Lattice parameters (Å, degrees): 4.3219 4.3219 15.1655 90.00 90.00 90.00
Element x y z (fractional)
Sm1 0.2500 0.2500 0.1121
Sm2 0.7500 0.7500 0.8879
Sc1 0.2500 0.2500 0.6039
Sc2 0.7500 0.7500 0.3961
Te1 0.2500 0.2500 0.4070
Te2 0.2500 0.2500 0.7878
Te3 0.7500 0.7500 0.2122
Te4 0.7500 0.7500 0.5930
S1 0.2500 0.7500 0.0000
S2 0.7500 0.2500 0.0000

Properties
The theoretical density comes out at 5.7 g/cm³. Its density of states at the Fermi level is 0.3243 states/eV per atom. The value obtained for the calculated total energy is -5.670 eV per atom. The calculation puts the uncorrected formation energy at -6.89 eV per formula unit.


What did the fifth record say?
## Tb3Cd4Hg4 (GGA-PBE)

Data for crystalline Tb3Cd4Hg4 at its relaxed geometry.

Lattice parameters (Å, degrees): 3.4721 4.9527 15.7536 98.98 96.32 90.02
Element x y z (fractional)
Tb1 0.0000 0.0000 0.0000
Tb2 0.1396 0.6390 0.2791
Tb3 0.8604 0.3610 0.7209
Cd1 0.2663 0.2664 0.5317
Cd2 0.4084 0.9089 0.8174
Cd3 0.5916 0.0911 0.1826
Cd4 0.7337 0.7336 0.4683
Hg1 0.3177 0.8177 0.6340
Hg2 0.4513 0.4532 0.9062
Hg3 0.5487 0.5468 0.0938
Hg4 0.6823 0.1823 0.3660

Properties
The theoretical density comes out at 10.8 g/cm³. Its density of states at the Fermi level is 0.4871 states/eV per atom. The value obtained for the calculated total energy is -2.022 eV per atom. The value obtained for the energy relative to the elements is -0.316 eV/atom.


Which of these has the lowest calculated total energy? Tb4SmS7


The highest theoretical density belongs to which entry? ReOs2Br2